Density functional theory data (PBE-GGA) for a relaxed structure of Dy2YEr2Tm2Fe2Te2.

## Properties
DFT total energy (eV per atom): -5.65

Structure (CIF):
```
data_Dy2YEr2Tm2Fe2Te2
_symmetry_space_group_name_H-M 'I m m 2'
_symmetry_Int_Tables_number 44
_cell_length_a 3.8617
_cell_length_b 15.6528
_cell_length_c 9.3203
_cell_angle_alpha 90.00
_cell_angle_beta 90.00
_cell_angle_gamma 90.00
loop_
_symmetry_equiv_pos_as_xyz
'x,y,z'
'-x,-y,z'
'-x,y,z'
'x,-y,z'
'x+1/2,y+1/2,z+1/2'
'-x+1/2,-y+1/2,z+1/2'
'-x+1/2,y+1/2,z+1/2'
'x+1/2,-y+1/2,z+1/2'
loop_
_atom_site_label
_atom_site_type_symbol
_atom_site_fract_x
_atom_site_fract_y
_atom_site_fract_z
Dy1 Dy 0.0000 0.1357 0.0000
Y1 Y 0.0000 0.0000 0.5830
Er1 Er 0.0000 0.3491 0.8486
Tm1 Tm 0.0000 0.3131 0.2082
Fe1 Fe 0.0000 0.2367 0.5140
Te1 Te 0.0000 0.0000 0.2485
Te2 Te 0.0000 0.5000 0.3472
```